Compound: Cd3Cu2Cl8
Source: the Alexandria database
Functional: GGA-PBE
Structure: optimized geometry

Cell: 6.7001 7.7299 7.8849 Å, 119.35 106.71 90.00°
Closest atoms and distances in Å follow each position.
Sites, in units of the cell vectors:
Cd 0.5000 0.0000 0.0000  6 Cl 2.66-2.69
Cd 0.0000 0.7454 0.0000  6 Cl 2.66-2.69
Cd 0.0000 0.2546 0.0000  6 Cl 2.66-2.69
Cu 0.5691 0.6036 0.2072  3 Cl 2.26-2.27
Cu 0.4309 0.3964 0.7928  3 Cl 2.26-2.27
Cl 0.7589 0.3823 0.7646  1 Cu 2.27
Cl 0.2411 0.6177 0.2354  1 Cu 2.27
Cl 0.7574 0.8888 0.7776  3 Cd 2.66-2.69
Cl 0.2426 0.1112 0.2224  3 Cd 2.66-2.69
Cl 0.7477 0.3641 0.2321  1 Cu 2.26
Cl 0.7477 0.8680 0.2321  1 Cu 2.26
Cl 0.2523 0.1320 0.7679  1 Cu 2.26
Cl 0.2523 0.6359 0.7679  1 Cu 2.26

Values from the calculation:
* E: -2.856 eV per atom
* crystal system: monoclinic

---

Compound: Cd2Cu2Cl
Source: the Alexandria database
Functional: GGA-PBE
Structure: optimized geometry

Cell: 7.9209 7.9209 3.0614 Å, 90.00 90.00 90.00°
Closest atoms and distances in Å follow each position.
Sites, in units of the cell vectors:
Cl 0.0000 0.0000 0.0000  4 Cd 2.89, 2 Cl 3.06
Cl 0.5000 0.5000 0.0000  4 Cd 2.89, 2 Cl 3.06
Cu 0.1078 0.6078 0.5000  1 Cu 2.42
Cu 0.6078 0.8922 0.5000  1 Cu 2.42
Cu 0.8922 0.3922 0.5000  1 Cu 2.42
Cu 0.3922 0.1078 0.5000  1 Cu 2.42
Cd 0.3131 0.8131 0.0000  6 Cu 2.76-2.86, 2 Cl 2.89, 2 Cd 3.06
Cd 0.8131 0.6869 0.0000  6 Cu 2.76-2.86, 2 Cl 2.89, 2 Cd 3.06
Cd 0.6869 0.1869 0.0000  6 Cu 2.76-2.86, 2 Cl 2.89, 2 Cd 3.06
Cd 0.1869 0.3131 0.0000  6 Cu 2.76-2.86, 2 Cl 2.89, 2 Cd 3.06

Values from the calculation:
* E: -2.321 eV per atom
* crystal system: tetragonal

---

Compound: CdCuCl2
Source: the Alexandria database
Functional: GGA-PBE
Structure: optimized geometry

Cell: 6.0156 6.0156 6.0156 Å, 147.03 104.37 85.00°
Closest atoms and distances in Å follow each position.
Sites, in units of the cell vectors:
Cl 0.0575 0.0575 0.0000  2 Cd 2.54
Cl 0.6701 0.1701 0.5000  2 Cu 2.26
Cu 0.5026 0.5026 0.0000  2 Cl 2.26
Cd 0.2699 0.7699 0.5000  2 Cl 2.54, 2 Cu 2.68

Values from the calculation:
* E: -2.571 eV per atom
* crystal system: orthorhombic

---

Please write out number 1 again, unchanged.
Compound: Cd3Cu2Cl8
Source: the Alexandria database
Functional: GGA-PBE
Structure: optimized geometry

Cell: 6.7001 7.7299 7.8849 Å, 119.35 106.71 90.00°
Closest atoms and distances in Å follow each position.
Sites, in units of the cell vectors:
Cd 0.5000 0.0000 0.0000  6 Cl 2.66-2.69
Cd 0.0000 0.7454 0.0000  6 Cl 2.66-2.69
Cd 0.0000 0.2546 0.0000  6 Cl 2.66-2.69
Cu 0.5691 0.6036 0.2072  3 Cl 2.26-2.27
Cu 0.4309 0.3964 0.7928  3 Cl 2.26-2.27
Cl 0.7589 0.3823 0.7646  1 Cu 2.27
Cl 0.2411 0.6177 0.2354  1 Cu 2.27
Cl 0.7574 0.8888 0.7776  3 Cd 2.66-2.69
Cl 0.2426 0.1112 0.2224  3 Cd 2.66-2.69
Cl 0.7477 0.3641 0.2321  1 Cu 2.26
Cl 0.7477 0.8680 0.2321  1 Cu 2.26
Cl 0.2523 0.1320 0.7679  1 Cu 2.26
Cl 0.2523 0.6359 0.7679  1 Cu 2.26

Values from the calculation:
* E: -2.856 eV per atom
* crystal system: monoclinic